1.
Here is a relaxed Mn6Ni7 crystal from the Alexandria database. Energies are from PBE-GGA.

The structure belongs to space group R-3m (No. 166, hexagonal axes); the cell edges are 4.7203, 4.7203 and 25.1773 Å and the angles 90.00°, 90.00° and 120.00°. The inequivalent atoms are Mn at (0.0000, 0.0000, 0.0489), Mn at (0.0000, 0.0000, 0.1538), Mn at (0.0000, 0.0000, 0.3340), Ni at (0.0000, 0.0000, 0.5000) and Ni at (0.0018, 0.5009, 0.9113).

The density comes out at 7.6 g/cm3. For the magnetic moment, the calculation gives 25.57 μB/f.u. Its formation enthalpy at 0 K is 0.050 eV/atom.

---

2.
Here is a relaxed SmTm2Pu crystal from the Alexandria database. Energies are from PBE-GGA.

The structure belongs to space group P4/mmm (No. 123); the cell edges are 3.493, 3.493 and 9.910 Å and the angles 90.00°, 90.00° and 90.00°. The inequivalent atoms are Sm at (0.000, 0.000, 0.000), Tm at (0.500, 0.500, 0.259) and Pu at (0.000, 0.000, 0.500).

The density comes out at 10.1 g/cm3. For the magnetic moment, the calculation gives 6.45 μB/f.u. Its formation enthalpy at 0 K is 0.093 eV/atom.